BaCdRh2 after structural relaxation, computed with PBE-GGA.

Results
E_form = 165 meV/atom
crystal system = tetragonal
space group = No. 123

Cell lengths 4.8284, 4.8284, 3.6464 Å; angles 90.00, 90.00, 90.00 degrees
With the nearest neighbours (Å) after each atom.
Element x y z (fractional)
Ba1 0.0000 0.0000 0.0000  8 Rh 3.03
Cd1 0.5000 0.5000 0.0000  8 Rh 3.03
Rh1 0.0000 0.5000 0.5000  4 Cd 3.03, 4 Ba 3.03
Rh2 0.5000 0.0000 0.5000  4 Cd 3.03, 4 Ba 3.03